First-principles (meta-GGA SCAN) data for a crystal of LiHoPd2 relaxed with PBEsol, as listed in Alexandria.

Lattice parameters (Å, degrees): 6.5064 6.5064 6.5064 90.00 90.00 90.00
Space group Fm-3m (No. 225)
Unique sites:
Li 0.0000 0.0000 0.0000 [4 per cell]
Ho 0.0000 0.0000 0.5000 [4 per cell]
Pd 0.2500 0.2500 0.2500 [8 per cell]

ΔE_f in eV/atom: -0.7462
V in A^3/atom: 17.21
Magnetization in Bohr magnetons per cell: 0.0